GdZrNiOs PBE optimized geometry; symmetry = F-43m, No. 216; total magnetic moment = 7.203 Bohr magnetons per cell; total DFT energy (no corrections) = -10.2014 eV per atom; formation enthalpy at 0 K = -0.291 eV per atom
1.0
0.0000 3.3406 3.3406
3.3406 0.0000 3.3406
3.3406 3.3406 0.0000
Gd Zr Ni Os
1 1 1 1
Direct
0.0000 0.0000 0.0000
0.5000 0.5000 0.5000
0.7500 0.7500 0.7500
0.2500 0.2500 0.2500



Zn2AgIr PBE optimized geometry; symmetry = R-3m, No. 166; total magnetic moment = 0.166 Bohr magnetons per cell; total DFT energy (no corrections) = -3.6349 eV per atom; formation enthalpy at 0 K = -0.070 eV per atom
1.0
1.4239 0.8221 8.6895
-1.4239 0.8221 8.6895
0.0000 -1.6442 8.6895
Zn Ag Ir
2 1 1
Direct
0.2463 0.2463 0.2463
0.7537 0.7537 0.7537
0.0000 0.0000 0.0000
0.5000 0.5000 0.5000



BaSc PBE optimized geometry; symmetry = P6_3/mmc, No. 194; total magnetic moment = 0.003 Bohr magnetons per cell; total DFT energy (no corrections) = -2.8069 eV per atom; formation enthalpy at 0 K = 1.320 eV per atom; relative energy among the computed polymorphs = 1084 meV/atom
1.0
6.1682 0.0000 0.0000
-3.0841 5.3419 0.0000
0.0000 0.0000 6.8522
Ba Sc
2 2
Direct
0.3333 0.6667 0.2500
0.6667 0.3333 0.7500
0.3333 0.6667 0.7500
0.6667 0.3333 0.2500



Question: Which of these has the highest formation enthalpy at 0 K?
Answer: BaSc



Question: Number 2 is which compound?
Answer: Zn2AgIr



Question: Which formula does entry 3 have?
Answer: BaSc